VASP calculation (GGA-PBE) on an optimized crystal structure of MgRuSe2.

**VASP energy**: -18.15 eV for the cell shown
**Formation energy (no corrections)**: -0.0774 eV/atom
**Density of states at the Fermi level**: 2.8 states/eV/f.u.

Lattice parameters (Å, degrees): 3.2367 3.2367 6.6398 90.00 90.00 90.00
Last column: nearest neighbours and their distance in Å.
Atoms (fractional coordinates):
Mg  0.0000  0.0000  0.0000  8 Se 2.91, 4 Mg 3.24
Ru  0.0000  0.0000  0.5000  8 Se 2.75
Se  0.5000  0.5000  0.2717  4 Ru 2.75, 4 Mg 2.91, 1 Se 3.03
Se  0.5000  0.5000  0.7283  4 Ru 2.75, 4 Mg 2.91, 1 Se 3.03

VASP calculation (GGA-PBE) on an optimized crystal structure of MgRuSe2.

**VASP energy**: -18.50 eV for the cell shown
**Formation energy (no corrections)**: -0.1648 eV/atom
**Density of states at the Fermi level**: 2.2 states/eV/f.u.

Lattice parameters (Å, degrees): 4.6994 3.6797 4.8490 90.00 105.05 90.00
Last column: nearest neighbours and their distance in Å.
Atoms (fractional coordinates):
Mg  0.0000  0.0000  0.0000  4 Se 2.86, 2 Ru 2.91
Ru  0.5000  0.0000  0.5000  4 Se 2.44
Se  0.3029  0.5000  0.7246  2 Ru 2.44
Se  0.6971  0.5000  0.2754  2 Ru 2.44

VASP calculation (GGA-PBE) on an optimized crystal structure of MgRuSe3.

**ΔE to the lowest computed polymorph**: 0 meV/atom
**VASP energy**: -20.43 eV for the cell shown
**Formation energy (no corrections)**: 0.1781 eV/atom
**Density of states at the Fermi level**: 5.5 states/eV/f.u.

Lattice parameters (Å, degrees): 4.9204 4.9204 4.9204 90.00 90.00 90.00
Last column: nearest neighbours and their distance in Å.
Atoms (fractional coordinates):
Mg  0.0000  0.0000  0.0000  12 Se 3.48
Ru  0.5000  0.5000  0.5000  6 Se 2.46
Se  0.0000  0.5000  0.5000  2 Ru 2.46
Se  0.5000  0.0000  0.5000  2 Ru 2.46
Se  0.5000  0.5000  0.0000  2 Ru 2.46

VASP calculation (GGA-PBE) on an optimized crystal structure of MgTe2RuSe.

**VASP energy**: -19.49 eV for the cell shown
**Formation energy (no corrections)**: 0.2302 eV/atom
**Density of states at the Fermi level**: 4.2 states/eV/f.u.

Lattice parameters (Å, degrees): 5.0550 5.0550 5.1061 90.00 90.00 90.00
Last column: nearest neighbours and their distance in Å.
Atoms (fractional coordinates):
Mg  0.0000  0.0000  0.0000  2 Ru 2.55
Te  0.0000  0.5000  0.5000  2 Ru 2.53
Te  0.5000  0.0000  0.5000  2 Ru 2.53
Ru  0.0000  0.0000  0.5000  4 Te 2.53, 2 Mg 2.55
Se  0.5000  0.5000  0.0000  4 Mg 3.57, 8 Te 3.59

VASP calculation (GGA-PBE) on an optimized crystal structure of Y2MgRuSe.

**VASP energy**: -24.80 eV for the cell shown
**Formation energy (no corrections)**: 0.4958 eV/atom
**Density of states at the Fermi level**: 4.6 states/eV/f.u.

Lattice parameters (Å, degrees): 5.5360 5.5360 4.4165 90.00 90.00 90.00
Last column: nearest neighbours and their distance in Å.
Atoms (fractional coordinates):
Y  0.0000  0.5000  0.0000  2 Mg 2.77
Y  0.5000  0.0000  0.0000  2 Mg 2.77
Mg  0.0000  0.0000  0.0000  2 Ru 2.21
Ru  0.0000  0.0000  0.5000  2 Mg 2.21
Se  0.5000  0.5000  0.5000  8 Y 3.54, 4 Ru 3.91

VASP calculation (GGA-PBE) on an optimized crystal structure of MgZnRu2Se.

**VASP energy**: -19.57 eV for the cell shown
**Formation energy (no corrections)**: 1.0666 eV/atom
**Density of states at the Fermi level**: 4.4 states/eV/f.u.

Lattice parameters (Å, degrees): 4.6876 4.6876 4.7388 90.00 90.00 90.00
Last column: nearest neighbours and their distance in Å.
Atoms (fractional coordinates):
Mg  0.0000  0.0000  0.0000  4 Se 3.31, 8 Ru 3.33
Zn  0.5000  0.5000  0.5000  4 Ru 2.34, 2 Se 2.37
Ru  0.0000  0.5000  0.5000  2 Zn 2.34
Ru  0.5000  0.0000  0.5000  2 Zn 2.34
Se  0.5000  0.5000  0.0000  2 Zn 2.37

VASP calculation (GGA-PBE) on an optimized crystal structure of MgSi4Ru5.

**VASP energy**: -75.30 eV for the cell shown
**Formation energy (no corrections)**: -0.5633 eV/atom
**Density of states at the Fermi level**: 5.6 states/eV/f.u.

Lattice parameters (Å, degrees): 2.9592 2.9592 15.0700 90.00 90.00 90.00
Last column: nearest neighbours and their distance in Å.
Atoms (fractional coordinates):
Mg  0.0000  0.0000  0.0000  8 Ru 2.76, 4 Mg 2.96, 2 Si 3.04
Si  0.0000  0.0000  0.2018  8 Ru 2.44-2.64
Si  0.0000  0.0000  0.4013  8 Ru 2.52-2.57
Si  0.0000  0.0000  0.5987  8 Ru 2.52-2.57
Si  0.0000  0.0000  0.7982  8 Ru 2.44-2.64
Ru  0.5000  0.5000  0.1189  4 Si 2.44
Ru  0.5000  0.5000  0.3084  8 Si 2.52-2.64
Ru  0.5000  0.5000  0.5000  8 Si 2.57
Ru  0.5000  0.5000  0.6916  8 Si 2.52-2.64
Ru  0.5000  0.5000  0.8811  4 Si 2.44

VASP calculation (GGA-PBE) on an optimized crystal structure of Mg2SiRu.

**VASP energy**: -17.26 eV for the cell shown
**Formation energy (no corrections)**: 0.1581 eV/atom
**Density of states at the Fermi level**: 1.8 states/eV/f.u.

Lattice parameters (Å, degrees): 9.2751 9.2751 9.2751 17.96 17.96 17.96
Last column: nearest neighbours and their distance in Å.
Atoms (fractional coordinates):
Mg  0.2444  0.2444  0.2444  3 Ru 2.71, 6 Mg 2.90, 3 Si 2.95
Mg  0.7556  0.7556  0.7556  3 Ru 2.71, 6 Mg 2.90, 3 Si 2.95
Si  0.0000  0.0000  0.0000  6 Si 2.90, 6 Mg 2.95
Ru  0.5000  0.5000  0.5000  6 Mg 2.71, 6 Ru 2.90

VASP calculation (GGA-PBE) on an optimized crystal structure of Mg2SiRu.

**VASP energy**: -18.67 eV for the cell shown
**Formation energy (no corrections)**: -0.1950 eV/atom
**Density of states at the Fermi level**: 1.8 states/eV/f.u.

Lattice parameters (Å, degrees): 5.1999 5.1999 5.1999 143.39 128.44 64.89
Last column: nearest neighbours and their distance in Å.
Atoms (fractional coordinates):
Mg  0.0000  0.0000  0.0000  4 Si 2.81, 4 Ru 2.83-3.07, 4 Mg 2.95-2.98
Mg  0.7208  0.2208  0.5000  4 Ru 2.81, 4 Si 2.82-3.08, 4 Mg 2.95-2.98
Si  0.4582  0.4582  0.0000  2 Ru 2.37
Ru  0.2631  0.7631  0.5000  2 Si 2.37

VASP calculation (GGA-PBE) on an optimized crystal structure of Mg2SiRu.

**VASP energy**: -18.45 eV for the cell shown
**Formation energy (no corrections)**: -0.1406 eV/atom
**Density of states at the Fermi level**: 2.3 states/eV/f.u.

Lattice parameters (Å, degrees): 4.8111 4.8111 4.8111 131.39 131.39 71.20
Last column: nearest neighbours and their distance in Å.
Atoms (fractional coordinates):
Mg  0.0000  0.0000  0.0000  4 Mg 2.78, 4 Ru 2.78, 4 Si 2.80
Mg  0.7500  0.2500  0.5000  4 Si 2.78, 4 Mg 2.78, 4 Ru 2.80
Si  0.5000  0.5000  0.0000  8 Mg 2.78-2.80, 4 Ru 2.78
Ru  0.2500  0.7500  0.5000  4 Si 2.78, 8 Mg 2.78-2.80

VASP calculation (GGA-PBE) on an optimized crystal structure of MgSi3Ru.

**ΔE to the lowest computed polymorph**: 0 meV/atom
**VASP energy**: -25.27 eV for the cell shown
**Formation energy (no corrections)**: 0.3732 eV/atom
**Density of states at the Fermi level**: 6.6 states/eV/f.u.

Lattice parameters (Å, degrees): 4.6502 4.6502 4.6502 90.00 90.00 90.00
Last column: nearest neighbours and their distance in Å.
Atoms (fractional coordinates):
Mg  0.0000  0.0000  0.0000  12 Si 3.29
Si  0.0000  0.5000  0.5000  2 Ru 2.33
Si  0.5000  0.0000  0.5000  2 Ru 2.33
Si  0.5000  0.5000  0.0000  2 Ru 2.33
Ru  0.5000  0.5000  0.5000  6 Si 2.33

VASP calculation (GGA-PBE) on an optimized crystal structure of MgSiRu3.

**ΔE to the lowest computed polymorph**: 1322 meV/atom
**VASP energy**: -26.21 eV for the cell shown
**Formation energy (no corrections)**: 1.7262 eV/atom
**Density of states at the Fermi level**: 5.5 states/eV/f.u.

Lattice parameters (Å, degrees): 4.4208 4.4208 4.4208 90.00 90.00 90.00
Last column: nearest neighbours and their distance in Å.
Atoms (fractional coordinates):
Mg  0.0000  0.0000  0.0000  6 Ru 2.21
Si  0.5000  0.5000  0.5000  12 Ru 3.13
Ru  0.0000  0.0000  0.5000  2 Mg 2.21
Ru  0.0000  0.5000  0.0000  2 Mg 2.21
Ru  0.5000  0.0000  0.0000  2 Mg 2.21

VASP calculation (GGA-PBE) on an optimized crystal structure of Mg2SiRu.

**VASP energy**: -18.69 eV for the cell shown
**Formation energy (no corrections)**: -0.2015 eV/atom
**Density of states at the Fermi level**: 1.6 states/eV/f.u.

Lattice parameters (Å, degrees): 4.0484 5.4260 5.4260 34.99 90.00 90.00
Last column: nearest neighbours and their distance in Å.
Atoms (fractional coordinates):
Mg  0.0000  0.0000  0.0000  3 Si 2.80-2.90, 4 Ru 2.83, 4 Mg 3.12
Mg  0.5000  0.3325  0.3325  3 Ru 2.83-2.86, 4 Si 2.85, 4 Mg 3.12
Si  0.0000  0.7199  0.7199  2 Ru 2.33
Ru  0.5000  0.6092  0.6092  2 Si 2.33

VASP calculation (GGA-PBE) on an optimized crystal structure of Mg2SiRu.

**VASP energy**: -17.17 eV for the cell shown
**Formation energy (no corrections)**: 0.1804 eV/atom
**Density of states at the Fermi level**: 3.2 states/eV/f.u.

Lattice parameters (Å, degrees): 2.8650 2.8650 8.7511 90.00 90.00 113.59
Last column: nearest neighbours and their distance in Å.
Atoms (fractional coordinates):
Mg  0.0000  0.0000  0.2397  2 Ru 2.62, 2 Si 2.77, 4 Mg 2.87
Mg  0.0000  0.0000  0.7603  2 Ru 2.62, 2 Si 2.77, 4 Mg 2.87
Si  0.5000  0.5000  0.5000  4 Mg 2.77, 4 Si 2.87
Ru  0.5000  0.5000  0.0000  4 Mg 2.62, 4 Ru 2.87

VASP calculation (GGA-PBE) on an optimized crystal structure of Mg2SiRu.

**VASP energy**: -17.75 eV for the cell shown
**Formation energy (no corrections)**: 0.0334 eV/atom
**Density of states at the Fermi level**: 2.2 states/eV/f.u.

Lattice parameters (Å, degrees): 4.9944 4.9944 2.9623 96.52 96.52 118.10
Last column: nearest neighbours and their distance in Å.
Atoms (fractional coordinates):
Mg  0.0000  0.5000  0.0000  2 Mg 2.57, 2 Ru 2.76, 2 Si 2.76
Mg  0.5000  0.0000  0.0000  2 Mg 2.57, 2 Ru 2.76, 2 Si 2.76
Si  0.0000  0.0000  0.5000  2 Ru 2.57, 4 Mg 2.76
Ru  0.5000  0.5000  0.5000  2 Si 2.57, 4 Mg 2.76

VASP calculation (GGA-PBE) on an optimized crystal structure of MgSiRu3.

**ΔE to the lowest computed polymorph**: 0 meV/atom
**VASP energy**: -32.82 eV for the cell shown
**Formation energy (no corrections)**: 0.4044 eV/atom
**Density of states at the Fermi level**: 4.3 states/eV/f.u.

Lattice parameters (Å, degrees): 4.4105 4.4105 4.4105 90.00 90.00 90.00
Last column: nearest neighbours and their distance in Å.
Atoms (fractional coordinates):
Mg  0.0000  0.0000  0.0000  12 Ru 3.12
Si  0.5000  0.5000  0.5000  6 Ru 2.21
Ru  0.0000  0.5000  0.5000  2 Si 2.21
Ru  0.5000  0.0000  0.5000  2 Si 2.21
Ru  0.5000  0.5000  0.0000  2 Si 2.21

VASP calculation (GGA-PBE) on an optimized crystal structure of Mg2SiRu.

**VASP energy**: -19.14 eV for the cell shown
**Formation energy (no corrections)**: -0.3118 eV/atom
**Density of states at the Fermi level**: 1.1 states/eV/f.u.

Lattice parameters (Å, degrees): 3.1111 3.1111 6.9894 90.00 90.00 90.00
Last column: nearest neighbours and their distance in Å.
Atoms (fractional coordinates):
Mg  0.0000  0.0000  0.0000  4 Si 2.84, 1 Ru 2.86, 4 Mg 3.11
Mg  0.5000  0.5000  0.3327  4 Ru 2.85, 1 Si 2.87, 4 Mg 3.11
Si  0.5000  0.5000  0.7426  4 Ru 2.44
Ru  0.0000  0.0000  0.5914  4 Si 2.44

VASP calculation (GGA-PBE) on an optimized crystal structure of MgSi3Ru4.

**VASP energy**: -59.40 eV for the cell shown
**Formation energy (no corrections)**: -0.5540 eV/atom
**Density of states at the Fermi level**: 4.6 states/eV/f.u.

Lattice parameters (Å, degrees): 4.1733 4.1733 5.9859 90.00 90.00 90.00
Last column: nearest neighbours and their distance in Å.
Atoms (fractional coordinates):
Mg  0.0000  0.0000  0.0000  8 Ru 2.61
Si  0.0000  0.0000  0.5000  8 Ru 2.52
Si  0.5000  0.5000  0.0000  8 Ru 2.61
Si  0.5000  0.5000  0.5000  8 Ru 2.52
Ru  0.0000  0.5000  0.2632  6 Si 2.52-2.61, 2 Mg 2.61
Ru  0.0000  0.5000  0.7368  6 Si 2.52-2.61, 2 Mg 2.61
Ru  0.5000  0.0000  0.2632  6 Si 2.52-2.61, 2 Mg 2.61
Ru  0.5000  0.0000  0.7368  6 Si 2.52-2.61, 2 Mg 2.61

VASP calculation (GGA-PBE) on an optimized crystal structure of Mg2SiRu.

**VASP energy**: -18.24 eV for the cell shown
**Formation energy (no corrections)**: -0.0886 eV/atom
**Density of states at the Fermi level**: 2.6 states/eV/f.u.

Lattice parameters (Å, degrees): 4.4028 4.4028 4.4028 60.00 60.00 60.00
Last column: nearest neighbours and their distance in Å.
Atoms (fractional coordinates):
Mg  0.0000  0.0000  0.0000  4 Ru 2.70, 4 Mg 2.70
Mg  0.2500  0.2500  0.2500  4 Si 2.70, 4 Mg 2.70
Si  0.5000  0.5000  0.5000  4 Ru 2.70, 4 Mg 2.70
Ru  0.7500  0.7500  0.7500  4 Si 2.70, 4 Mg 2.70

VASP calculation (GGA-PBE) on an optimized crystal structure of Mg2SiRu.

**VASP energy**: -18.22 eV for the cell shown
**Formation energy (no corrections)**: -0.0832 eV/atom
**Density of states at the Fermi level**: 2.3 states/eV/f.u.

Lattice parameters (Å, degrees): 5.1377 5.1377 5.1377 141.14 132.97 62.59
Last column: nearest neighbours and their distance in Å.
Atoms (fractional coordinates):
Mg  0.2464  0.2464  0.0000  4 Mg 2.67, 2 Ru 2.76, 4 Si 2.81-2.98
Mg  0.7536  0.7536  0.0000  4 Mg 2.67, 2 Ru 2.76, 4 Si 2.81-2.98
Si  0.5000  0.0000  0.5000  4 Ru 2.67, 8 Mg 2.81-2.98
Ru  0.0000  0.5000  0.5000  4 Si 2.67, 4 Mg 2.76